1.
Compound: BeTlOs2
Source: Alexandria
Functional: PBE
Structure: relaxed

Geometry as POSCAR:
```
BeTlOs2
1.0
8.1396 0.0245 0.0145
7.5982 2.9191 0.0145
7.5982 1.4212 2.5499
Be Os Tl
1 2 1
Cartesian
17.5020 3.2735 1.9341
11.2950 2.1126 1.2482
0.3730 0.0698 0.0412
5.8340 1.0912 0.6447
```

Output
Energy relative to the elements, eV per atom: 0.756
Symmetry: R-3m

2.
Compound: TmBe2Os
Source: Alexandria
Functional: PBE
Structure: relaxed

Geometry as POSCAR:
```
TmBe2Os
1.0
3.8768 0.0000 0.0000
1.9384 3.3574 0.0000
1.9384 1.1191 4.6718
Be Os Tm
2 1 1
Cartesian
1.9384 1.1191 1.9001
5.8152 3.3574 2.7717
3.8768 2.2383 2.3359
0.0000 0.0000 0.0000
```

Output
Energy relative to the elements, eV per atom: -0.188
Symmetry: R-3m

3.
Compound: TmBe9Os2
Source: Alexandria
Functional: PBE
Structure: relaxed

Geometry as POSCAR:
```
TmBe9Os2
1.0
4.4367 0.0000 0.0000
-2.2184 3.8423 0.0000
0.0000 0.0000 14.2435
Be Tm Os
18 2 4
Cartesian
1.1287 0.6516 8.8043
-1.0897 3.1907 1.6826
0.0000 0.0000 10.6826
2.2184 1.2808 10.6826
0.0000 1.3033 5.4392
-1.0897 3.1907 5.4392
2.2184 2.5391 12.5609
0.0000 0.0000 0.0000
0.0000 0.0000 7.1217
3.3081 0.6516 8.8043
1.0897 3.1907 1.6826
0.0000 1.3033 1.6826
0.0000 2.5615 3.5609
1.0897 3.1907 5.4392
0.0000 0.0000 3.5609
2.2184 2.5391 8.8043
3.3081 0.6516 12.5609
1.1287 0.6516 12.5609
2.2184 1.2808 3.5609
0.0000 2.5616 10.6826
0.0000 2.5616 7.6149
0.0000 2.5616 13.7503
2.2184 1.2808 0.4932
2.2184 1.2808 6.6286
```

Output
Energy relative to the elements, eV per atom: -0.274
Symmetry: P6_3/mmc